{
  "formula": "NbW",
  "functional": "GGA-PBE",
  "state": "optimized geometry",
  "spacegroup": "No. 225",
  "formation_enthalpy_0k_ev_per_atom": 1.182,
  "dft_energy_ev_per_atom": -10.34,
  "lattice_angstrom": [[0.0000, 2.6819, 2.6819], [2.6819, 0.0000, 2.6819], [2.6819, 2.6819, 0.0000]],
  "species": ["Nb", "W"],
  "fractional_positions": [[0.0000, 0.0000, 0.0000], [0.5000, 0.5000, 0.5000]]
}